Ba2NiIr3O12 | PBE+U | relaxed

The value obtained for the total magnetization is 2.4 μB/cell. For the density of states at the Fermi level, the calculation gives 6.25 states/eV/f.u. For the raw total energy, the calculation gives -6.304 eV/atom.

The structure belongs to space group R-3m (No. 166, hexagonal axes); the cell edges are 7.2245, 7.2245 and 16.7854 Å and the angles 90.00°, 90.00° and 120.00°. Symmetry generates all atoms from Ba at (0.0000, 0.0000, 0.1149), Ni at (0.0000, 0.0000, 0.5000), Ir at (0.0000, 0.5000, 0.0000), O at (0.0447, 0.5224, 0.1105) and O at (0.0481, 0.5240, 0.3479).